No. 1
ZrHg2Rh2 | PBE-GGA | optimized geometry

Computed properties:
For the energy of formation from the pure elements, the calculation gives -0.17 eV/atom. As for the space group: No. 127.

Cell: 6.867 6.867 4.065 Å, 90.00 90.00 90.00°
Fractional positions:
Zr  0.000  0.000  0.000
Zr  0.500  0.500  0.000
Hg  0.163  0.337  0.500
Hg  0.337  0.837  0.500
Hg  0.663  0.163  0.500
Hg  0.837  0.663  0.500
Rh  0.138  0.638  0.000
Rh  0.362  0.138  0.000
Rh  0.638  0.862  0.000
Rh  0.862  0.362  0.000

---

No. 2
Sr2ZrCo | PBE-GGA | optimized geometry

Computed properties:
For the energy of formation from the pure elements, the calculation gives 0.19 eV/atom. As for the space group: No. 99. The value obtained for the relative energy among the computed polymorphs is 0.023 eV per atom.

Cell: 3.511 3.511 9.702 Å, 90.00 90.00 90.00°
Fractional positions:
Sr  0.000  0.000  0.000
Sr  0.500  0.500  0.380
Zr  0.000  0.000  0.666
Co  0.500  0.500  0.763

---

No. 3
LiSm2Zn9 | PBE-GGA | optimized geometry

Computed properties:
For the energy of formation from the pure elements, the calculation gives -0.18 eV/atom. As for the space group: No. 166.

Cell: 9.186 9.186 9.186 Å, 34.66 34.66 34.66°
Fractional positions:
Li  0.000  0.000  0.000
Sm  0.140  0.140  0.140
Sm  0.860  0.860  0.860
Zn  0.078  0.584  0.584
Zn  0.335  0.335  0.335
Zn  0.416  0.416  0.922
Zn  0.416  0.922  0.416
Zn  0.500  0.500  0.500
Zn  0.584  0.078  0.584
Zn  0.584  0.584  0.078
Zn  0.665  0.665  0.665
Zn  0.922  0.416  0.416

---

No. 4
PrEuIr | PBE-GGA | optimized geometry

Computed properties:
For the energy of formation from the pure elements, the calculation gives -0.36 eV/atom. As for the space group: No. 107. The value obtained for the relative energy among the computed polymorphs is 0.088 eV per atom.

Cell: 7.264 7.264 7.264 Å, 151.42 151.42 40.87°
Fractional positions:
Pr  0.000  0.000  0.000
Eu  0.751  0.751  0.000
Ir  0.385  0.385  0.000

---

No. 5
CoReNi4 | PBE-GGA | optimized geometry

Computed properties:
For the energy of formation from the pure elements, the calculation gives 0.17 eV/atom. As for the space group: No. 216. The value obtained for the relative energy among the computed polymorphs is 0.105 eV per atom.

Cell: 4.604 4.604 4.604 Å, 60.00 60.00 60.00°
Fractional positions:
Co  0.000  0.000  0.000
Re  0.250  0.250  0.250
Ni  0.125  0.625  0.625
Ni  0.625  0.125  0.625
Ni  0.625  0.625  0.125
Ni  0.625  0.625  0.625

---

No. 6
Fe2SbSe | PBE-GGA | optimized geometry

Computed properties:
The value obtained for the uncorrected formation energy is -35 meV per atom. As for the space group: No. 25. The value obtained for the relative energy among the computed polymorphs is 0.000 eV per atom.

Cell: 3.425 3.634 6.346 Å, 90.00 90.00 90.00°
Fractional positions:
Fe  0.000  0.000  0.000
Fe  0.500  0.500  0.012
Sb  0.500  0.000  0.309
Se  0.000  0.500  0.753